Entry from Alexandria via LeMat-Bulk: crystalline Ba2VPbO6 at its relaxed geometry (PBE with a Hubbard U).

E_tot	-65.16	eV/f.u.
DOS(E_F)	0.19	states/eV per atom
M_tot	0.00	μB/atom

abc: 10.329 5.962 6.011
angles: 90.00 125.39 90.00
Space group C2/m (No. 12)
Unique sites:
Ba 0.249 0.000 0.248 x4
V 0.000 0.500 0.000 x2
Pb 0.000 0.000 0.500 x2
O 0.022 0.272 0.797 x8
O 0.226 0.500 0.268 x4